Record 1
CrSi2Tc (GGA-PBE, relaxed); space group = Cmm2, No. 35; density of states at the Fermi level = 3.57 states/eV per cell; M_tot = 0.0 Bohr magnetons per cell; uncorrected energy = -7.53 eV per atom
1.0
-2.4346 -1.0193 0.0691
1.4991 -1.5626 1.5106
-1.7077 4.5105 6.3606
Cr Si Tc
1 2 1
direct
0.5000 0.5000 0.7564
0.0000 0.0000 0.9838
0.5000 0.5000 0.2550
0.0000 0.0000 0.5049

---

Record 2
Cr2SiTc (GGA-PBE, relaxed); space group = P4/mmm, No. 123; density of states at the Fermi level = 4.73 states/eV per cell; M_tot = 1.0 Bohr magnetons per cell; uncorrected energy = -8.85 eV per atom
1.0
3.0357 0.0000 0.0000
0.0000 3.0357 0.0000
0.0000 0.0000 5.4427
Cr Si Tc
2 1 1
direct
0.0000 0.0000 0.0156
0.0000 0.0000 0.4844
0.5000 0.5000 0.2500
0.5000 0.5000 0.7500

---

Record 3
CrSiTc2 (GGA-PBE, relaxed); space group = R3m, No. 160; density of states at the Fermi level = 3.71 states/eV per cell; M_tot = 0.0 Bohr magnetons per cell; uncorrected energy = -8.85 eV per atom
1.0
-3.3710 0.7951 2.0770
-2.5821 -2.9791 0.8757
0.0725 -1.4484 4.5984
Cr Si Tc
1 1 2
direct
0.4800 0.4800 0.5601
0.6754 0.6754 0.9739
0.0772 0.0772 0.7683
0.2675 0.2675 0.1976

---

Record 4
CrSi2Tc (GGA-PBE, relaxed); space group = I-4m2, No. 119; density of states at the Fermi level = 2.73 states/eV per cell; M_tot = 1.6 Bohr magnetons per cell; uncorrected energy = -7.85 eV per atom
1.0
4.7077 -0.0016 0.0000
1.9334 4.2924 0.0000
-3.3206 -2.1454 2.5561
Cr Si Tc
1 2 1
direct
0.7500 0.2500 0.5000
0.0000 0.0000 0.0000
0.2500 0.7500 0.5000
0.5000 0.5000 0.0000

---

Record 5
CrSi2Tc (GGA-PBE, relaxed); space group = Cmmm, No. 65; density of states at the Fermi level = 3.34 states/eV per cell; M_tot = 0.4 Bohr magnetons per cell; uncorrected energy = -7.77 eV per atom
1.0
2.7605 0.0157 0.0000
-1.1657 2.5023 0.0000
0.0000 0.0000 7.5803
Cr Si Tc
1 2 1
direct
0.5000 0.5000 0.7500
0.0000 0.0000 0.9926
0.0000 0.0000 0.5074
0.5000 0.5000 0.2500

---

Record 6
CrSiTc (GGA-PBE, relaxed); space group = F-43m, No. 216; density of states at the Fermi level = 2.03 states/eV per cell; M_tot = 0.2 Bohr magnetons per cell; distance to the lowest polymorph of the same formula = 400.9 meV per atom
1.0
-1.0212 3.0636 2.3062
-2.1029 -0.6207 3.3075
1.7062 0.4645 3.5525
Cr Si Tc
1 1 1
direct
0.7500 0.7500 0.7500
0.0000 0.0000 0.0000
0.5000 0.5000 0.5000

---

Record 7
Cr2SiTc (GGA-PBE, relaxed); space group = C2/m, No. 12; density of states at the Fermi level = 4.29 states/eV per cell; M_tot = 0.0 Bohr magnetons per cell; uncorrected energy = -8.80 eV per atom
1.0
4.7695 -0.0014 -0.0045
-2.0800 4.2935 -0.0036
0.6095 0.7726 2.4511
Cr Si Tc
2 1 1
direct
0.0000 0.0000 0.0000
0.5000 0.0000 0.5000
0.0000 0.5000 0.5000
0.5000 0.5000 0.0000

---

Record 8
CrSiTc2 (GGA-PBE, relaxed); space group = Pmmm, No. 47; density of states at the Fermi level = 3.13 states/eV per cell; M_tot = 0.3 Bohr magnetons per cell; uncorrected energy = -9.05 eV per atom
1.0
2.9947 0.0000 0.0000
0.0000 4.4823 0.0000
0.0000 0.0000 3.9750
Cr Si Tc
1 1 2
direct
0.5000 0.0000 0.5000
0.0000 0.5000 0.5000
0.0000 0.0000 0.0000
0.5000 0.5000 0.0000